A geometry-optimized Hf3MgMo structure, computed with PBE.

Calculated values
As for the space-group type: Pm-3m. The value obtained for the calculated formation energy is 1.692 eV per atom. The calculated density comes out at 9.3 g/cm3. The calculation puts the total energy at -6.765 eV per atom. For the magnetic moment, the calculation gives 1.37 μB per formula unit.

Cell lengths 4.8972, 4.8972, 4.8972 Å; angles 90.00, 90.00, 90.00 degrees
With the nearest neighbours (Å) after each atom.
Positions (direct):
Mo (0.5000, 0.5000, 0.5000)  12 Hf 3.46
Hf (0.0000, 0.5000, 0.0000)  2 Mg 2.45
Hf (0.0000, 0.0000, 0.5000)  2 Mg 2.45
Hf (0.5000, 0.0000, 0.0000)  2 Mg 2.45
Mg (0.0000, 0.0000, 0.0000)  6 Hf 2.45

=====

A geometry-optimized KCaHg2Pd structure, computed with PBE.

Calculated values
As for the space-group type: P4/mmm. The value obtained for the calculated formation energy is -0.289 eV per atom. The calculated density comes out at 6.2 g/cm3. The calculation puts the total energy at -2.068 eV per atom. For the magnetic moment, the calculation gives 0.00 μB per formula unit.

Cell lengths 5.4716, 5.4716, 5.2631 Å; angles 90.00, 90.00, 90.00 degrees
With the nearest neighbours (Å) after each atom.
Positions (direct):
K (0.5000, 0.5000, 0.5000)  8 Hg 3.80, 4 Ca 3.87
Ca (0.0000, 0.0000, 0.5000)  2 Pd 2.63
Hg (0.0000, 0.5000, 0.0000)  2 Pd 2.74
Hg (0.5000, 0.0000, 0.0000)  2 Pd 2.74
Pd (0.0000, 0.0000, 0.0000)  2 Ca 2.63, 4 Hg 2.74

=====

A geometry-optimized PmScBeGa structure, computed with PBE.

Calculated values
As for the space-group type: F-43m. The value obtained for the calculated formation energy is -0.225 eV per atom. The calculated density comes out at 5.5 g/cm3. The calculation puts the total energy at -4.684 eV per atom. For the magnetic moment, the calculation gives 0.00 μB per formula unit.

Cell lengths 4.8672, 4.8672, 4.8672 Å; angles 60.00, 60.00, 60.00 degrees
With the nearest neighbours (Å) after each atom.
Positions (direct):
Sc (0.0000, 0.0000, 0.0000)  4 Ga 2.98, 4 Be 2.98
Be (0.7500, 0.7500, 0.7500)  4 Pm 2.98, 4 Sc 2.98
Ga (0.2500, 0.2500, 0.2500)  4 Sc 2.98, 4 Pm 2.98
Pm (0.5000, 0.5000, 0.5000)  4 Be 2.98, 4 Ga 2.98

=====

A geometry-optimized Ho2BeGa4Pt3 structure, computed with PBE.

Calculated values
As for the space-group type: P-4m2. The value obtained for the calculated formation energy is -0.800 eV per atom. The calculated density comes out at 11.1 g/cm3. The calculation puts the total energy at -5.111 eV per atom. For the magnetic moment, the calculation gives 0.00 μB per formula unit.

Cell lengths 4.0366, 4.0366, 11.0793 Å; angles 90.00, 90.00, 90.00 degrees
With the nearest neighbours (Å) after each atom.
Positions (direct):
Ho (0.5000, 0.0000, 0.2578)  6 Pt 3.11-3.36, 4 Ga 3.12, 2 Be 3.36
Ho (0.0000, 0.5000, 0.7422)  6 Pt 3.11-3.36, 4 Ga 3.12, 2 Be 3.36
Be (0.5000, 0.5000, 0.5000)  4 Ga 2.47
Ga (0.5000, 0.5000, 0.0000)  4 Pt 2.58, 4 Ga 2.85
Ga (0.0000, 0.0000, 0.0000)  4 Pt 2.58, 4 Ga 2.85
Ga (0.5000, 0.0000, 0.6289)  2 Be 2.47, 3 Pt 2.47-2.50
Ga (0.0000, 0.5000, 0.3711)  2 Be 2.47, 3 Pt 2.47-2.50
Pt (0.0000, 0.0000, 0.5000)  4 Ga 2.47
Pt (0.5000, 0.0000, 0.8543)  5 Ga 2.50-2.58
Pt (0.0000, 0.5000, 0.1457)  5 Ga 2.50-2.58

=====

A geometry-optimized InNiRu3 structure, computed with PBE.

Calculated values
As for the space-group type: Pm-3m. The value obtained for the calculated formation energy is 1.183 eV per atom. The calculated density comes out at 8.7 g/cm3. The calculation puts the total energy at -6.087 eV per atom. For the magnetic moment, the calculation gives 5.43 μB per formula unit.

Cell lengths 4.4968, 4.4968, 4.4968 Å; angles 90.00, 90.00, 90.00 degrees
With the nearest neighbours (Å) after each atom.
Positions (direct):
Ru (0.0000, 0.5000, 0.0000)  2 Ni 2.25
Ru (0.0000, 0.0000, 0.5000)  2 Ni 2.25
Ru (0.5000, 0.0000, 0.0000)  2 Ni 2.25
Ni (0.0000, 0.0000, 0.0000)  6 Ru 2.25
In (0.5000, 0.5000, 0.5000)  12 Ru 3.18

=====

A geometry-optimized LaPt2Pb structure, computed with PBE.

Calculated values
As for the space-group type: F-43m. The value obtained for the calculated formation energy is -0.443 eV per atom. The calculated density comes out at 13.7 g/cm3. The calculation puts the total energy at -5.622 eV per atom. For the magnetic moment, the calculation gives 0.00 μB per formula unit.

Cell lengths 5.0150, 5.0150, 5.0150 Å; angles 60.00, 60.00, 60.00 degrees
With the nearest neighbours (Å) after each atom.
Positions (direct):
La (0.5000, 0.5000, 0.5000)  4 Pt 3.07, 4 Pb 3.07
Pb (0.7500, 0.7500, 0.7500)  4 La 3.07, 4 Pt 3.07
Pt (0.0000, 0.0000, 0.0000)  4 Pb 3.07, 4 Pt 3.07
Pt (0.2500, 0.2500, 0.2500)  4 Pt 3.07, 4 La 3.07